Entry 1:
DFT (PBE-GGA) results for crystalline Cs5Bi2 at its relaxed geometry.

Unit cell a=11.722 b=11.722 c=11.722 alpha=130.42 beta=67.45 gamma=137.32
Element x y z (fractional)
1 Cs 0.012 0.250 0.762
2 Cs 0.080 0.650 0.730
3 Cs 0.250 0.250 0.000
4 Cs 0.420 0.150 0.569
5 Cs 0.488 0.250 0.238
6 Cs 0.512 0.750 0.762
7 Cs 0.580 0.850 0.431
8 Cs 0.750 0.750 0.000
9 Cs 0.920 0.350 0.270
10 Cs 0.988 0.750 0.238
11 Bi 0.123 0.257 0.380
12 Bi 0.377 0.757 0.134
13 Bi 0.623 0.243 0.866
14 Bi 0.877 0.743 0.620

Output
* formation enthalpy at 0 K: -30.5 kJ/mol of atoms
* electronic total energy: -2.0349 eV per atom
* total magnetic moment: 1.15 μB per formula unit

Entry 2:
DFT (PBE-GGA) results for crystalline KCo4Sb12 at its relaxed geometry.

Unit cell a=7.971 b=7.971 c=7.971 alpha=109.47 beta=109.47 gamma=109.47
Element x y z (fractional)
1 K 0.000 0.000 0.000
2 Co 0.000 0.000 0.500
3 Co 0.000 0.500 0.000
4 Co 0.500 0.000 0.000
5 Co 0.500 0.500 0.500
6 Sb 0.162 0.337 0.499
7 Sb 0.162 0.663 0.825
8 Sb 0.175 0.838 0.337
9 Sb 0.337 0.175 0.838
10 Sb 0.337 0.499 0.162
11 Sb 0.499 0.162 0.337
12 Sb 0.501 0.838 0.663
13 Sb 0.663 0.501 0.838
14 Sb 0.663 0.825 0.162
15 Sb 0.825 0.162 0.663
16 Sb 0.838 0.337 0.175
17 Sb 0.838 0.663 0.501

Output
* formation energy without anion corrections: -346 kJ/mol of formula units
* electronic total energy: -4.8571 eV per atom
* total magnetic moment: 0.00 μB per formula unit